A.
# Mg2VIrO6

Crystalline Mg2VIrO6 at its relaxed geometry (PBE with a Hubbard U, the Alexandria database).

POSCAR file:
```
Mg2VIrO6
1.0
-1.0465 3.2670 1.9127
-0.3351 -2.9232 4.8095
5.4240 1.1183 1.0576
O Ir Mg V
6 1 2 1
direct
0.7406 0.2445 0.7555
0.2011 0.0000 0.0000
0.2040 0.5000 0.5000
0.7406 0.2445 0.2445
0.7406 0.7555 0.7555
0.7406 0.7555 0.2445
0.7009 0.5000 0.5000
0.8749 0.0000 0.5000
0.8749 0.5000 0.0000
0.6286 0.0000 0.0000
```

Summary:
Magnetization ... 0.131 μB/atom
SG ... P4mm, No. 99

***

B.
# Mg2VIrO6

Crystalline Mg2VIrO6 at its relaxed geometry (PBE with a Hubbard U, the Alexandria database).

POSCAR file:
```
Mg2VIrO6
1.0
-4.7613 2.3158 0.2991
-2.2615 -4.5874 -0.4823
-2.1852 -5.3963 6.9952
O Mg Ir V
12 4 2 2
direct
0.8151 0.1017 0.0733
0.1764 0.2564 0.5584
0.5763 0.3747 0.7520
0.3236 0.2564 0.0584
0.8236 0.7436 0.4416
0.4237 0.6253 0.2480
0.6764 0.7436 0.9416
0.0763 0.6253 0.7480
0.9237 0.3747 0.2520
0.3151 0.8983 0.4267
0.6849 0.1017 0.5733
0.1849 0.8983 0.9267
0.0500 0.7464 0.2552
0.5500 0.2536 0.2448
0.4500 0.7464 0.7552
0.9500 0.2536 0.7448
0.5000 0.5000 0.5000
0.0000 0.5000 0.0000
0.0000 0.0000 0.5000
0.5000 0.0000 0.0000
```

Summary:
Magnetization ... 0.004 μB/atom
SG ... P2_1/c, No. 14

***

Relative calculated energies, zero for the most stable structure, unit meV per atom: A 249; B 0.

***

A.
# MgV2IrO

Crystalline MgV2IrO at its relaxed geometry (PBE with a Hubbard U, the Alexandria database).

POSCAR file:
```
MgV2IrO
1.0
-1.6934 -0.9316 -4.7736
1.6858 -3.3870 0.0630
-4.2884 -2.0986 1.9308
V Ir Mg O
2 1 1 1
direct
0.5000 0.0000 0.0000
0.0000 0.0000 0.5000
0.0000 0.0000 0.0000
0.5000 0.5000 0.5000
0.0000 0.5000 0.0000
```

Summary:
Magnetization ... 0.306 μB/atom
SG ... P4/mmm, No. 123

***

B.
# MgV2IrO

Crystalline MgV2IrO at its relaxed geometry (PBE with a Hubbard U, the Alexandria database).

POSCAR file:
```
MgV2IrO
1.0
-3.8496 -2.7536 0.5504
2.8121 -3.5444 1.9363
-0.6870 1.8291 4.3459
V O Ir Mg
2 1 1 1
direct
0.0000 0.0000 0.5000
0.5000 0.0000 0.0000
0.5000 0.5000 0.5000
0.0000 0.0000 0.0000
0.0000 0.5000 0.0000
```

Summary:
Magnetization ... 0.961 μB/atom
SG ... P4/mmm, No. 123

***

Relative calculated energies, zero for the most stable structure, unit meV per atom: A 0; B 65.